[1]
Tm3Te3Se, optimized geometry, DFT GGA-PBE; E_form (uncorrected) = -8.80 eV per formula unit; space group = No. 63
1.0
-3.030 2.097 -4.816
-7.767 -5.241 2.605
1.053 9.089 3.295
Tm Te Se
6 6 2
Direct
0.750 0.656 0.828 Tm
0.750 0.172 0.343 Tm
0.750 0.172 0.829 Tm
0.250 0.344 0.172 Tm
0.250 0.828 0.657 Tm
0.250 0.828 0.171 Tm
0.250 0.638 0.819 Te
0.250 0.180 0.362 Te
0.250 0.181 0.820 Te
0.750 0.362 0.181 Te
0.750 0.820 0.638 Te
0.750 0.819 0.180 Te
0.750 0.333 0.667 Se
0.250 0.667 0.333 Se


[2]
BaBiAu2, optimized geometry, DFT GGA-PBE; space group = No. 166; formation enthalpy at 0 K = -0.52 eV/atom
1.0
5.047 0.000 0.000
2.524 4.371 0.000
2.524 1.457 5.444
Au Bi Ba
2 1 1
Direct
0.785 0.785 0.646 Au
0.215 0.215 0.354 Au
0.500 0.500 0.500 Bi
0.000 0.000 0.000 Ba


One value per record, in order, for M_tot: 0.00 0.00 Bohr magnetons per cell.
One value per record, in order, for final energy: -70.26 -14.44 eV per cell.